Entry 1:
Compound: CaSmGd2
Source: Alexandria via LeMat-Bulk
Functional: PBE
Structure: optimized geometry

Cell and atoms, written as CIF:
```
data_CaSmGd2
_space_group_name_H-M_alt 'F m -3 m'
_space_group_IT_number 225
_space_group_name_Hall '-F 4 2 3'
_cell_length_a 8.1915
_cell_length_b 8.1915
_cell_length_c 8.1915
_cell_angle_alpha 90.00
_cell_angle_beta 90.00
_cell_angle_gamma 90.00
loop_
_atom_site_label
_atom_site_type_symbol
_atom_site_fract_x
_atom_site_fract_y
_atom_site_fract_z
Ca1 Ca 0.0000 0.0000 0.0000
Sm1 Sm 0.0000 0.0000 0.5000
Gd1 Gd 0.2500 0.2500 0.2500
```

ΔE to the lowest computed polymorph	81.7	meV/atom
calculated formation energy	0.5	eV per formula unit

=====

Entry 2:
Compound: Na2NdHg
Source: Alexandria via LeMat-Bulk
Functional: PBE
Structure: optimized geometry

Cell and atoms, written as CIF:
```
data_Na2NdHg
_space_group_name_H-M_alt 'R -3 m'
_space_group_IT_number 166
_space_group_name_Hall '-R 3 2"'
_cell_length_a 3.4890
_cell_length_b 3.4890
_cell_length_c 35.8399
_cell_angle_alpha 90.00
_cell_angle_beta 90.00
_cell_angle_gamma 120.00
loop_
_atom_site_label
_atom_site_type_symbol
_atom_site_fract_x
_atom_site_fract_y
_atom_site_fract_z
Na1 Na 0.0000 0.0000 0.0958
Nd1 Nd 0.0000 0.0000 0.0000
Hg1 Hg 0.0000 0.0000 0.5000
```

calculated formation energy	0.3	eV per formula unit

=====

Entry 3:
Compound: Y2CuHPd
Source: Alexandria via LeMat-Bulk
Functional: PBE
Structure: optimized geometry

Cell and atoms, written as CIF:
```
data_Y2CuHPd
_space_group_name_H-M_alt 'P 4/m m m'
_space_group_IT_number 123
_space_group_name_Hall '-P 4 2'
_cell_length_a 4.9644
_cell_length_b 4.9644
_cell_length_c 3.6399
_cell_angle_alpha 90.00
_cell_angle_beta 90.00
_cell_angle_gamma 90.00
loop_
_atom_site_label
_atom_site_type_symbol
_atom_site_fract_x
_atom_site_fract_y
_atom_site_fract_z
Y1 Y 0.0000 0.5000 0.0000
Cu1 Cu 0.0000 0.0000 0.5000
H1 H 0.5000 0.5000 0.0000
Pd1 Pd 0.5000 0.5000 0.5000
```

ΔE to the lowest computed polymorph	25.4	meV/atom